(a)
## FeB4Ir (PBE)

Data for a geometry-optimized FeB4Ir structure.

Summary:
Mass density ... 9.5 g/cm³

CIF file:
```
data_FeB4Ir
_space_group_name_H-M_alt 'I m m m'
_space_group_IT_number 71
_space_group_name_Hall '-I 2 2'
_cell_length_a 3.003
_cell_length_b 5.219
_cell_length_c 6.529
_cell_angle_alpha 90.00
_cell_angle_beta 90.00
_cell_angle_gamma 90.00
loop_
_atom_site_label
_atom_site_type_symbol
_atom_site_fract_x
_atom_site_fract_y
_atom_site_fract_z
Fe1 Fe 0.000 0.000 0.000
B1 B 0.000 0.335 0.262
Ir1 Ir 0.000 0.000 0.500
```

(b)
## FeB4Ir (PBE)

Data for a geometry-optimized FeB4Ir structure.

Summary:
Mass density ... 9.9 g/cm³

CIF file:
```
data_FeB4Ir
_space_group_name_H-M_alt 'P 6/m m m'
_space_group_IT_number 191
_space_group_name_Hall '-P 6 2'
_cell_length_a 3.0333
_cell_length_b 3.0333
_cell_length_c 6.1600
_cell_angle_alpha 90.00
_cell_angle_beta 90.00
_cell_angle_gamma 120.00
loop_
_atom_site_label
_atom_site_type_symbol
_atom_site_fract_x
_atom_site_fract_y
_atom_site_fract_z
Fe1 Fe 0.0000 0.0000 0.0000
B1 B 0.3333 0.6667 0.2253
Ir1 Ir 0.0000 0.0000 0.5000
```

Verdict on stability: (a) comes out on top.

(a)
## LiFeBIr (PBE)

Data for a geometry-optimized LiFeBIr structure.

Summary:
Mass density ... 11.1 g/cm³

CIF file:
```
data_LiFeBIr
_space_group_name_H-M_alt 'F -4 3 m'
_space_group_IT_number 216
_space_group_name_Hall 'F -4 2 3'
_cell_length_a 5.425
_cell_length_b 5.425
_cell_length_c 5.425
_cell_angle_alpha 90.00
_cell_angle_beta 90.00
_cell_angle_gamma 90.00
loop_
_atom_site_label
_atom_site_type_symbol
_atom_site_fract_x
_atom_site_fract_y
_atom_site_fract_z
Li1 Li 0.000 0.000 0.000
Fe1 Fe 0.250 0.250 0.750
B1 B 0.000 0.000 0.500
Ir1 Ir 0.250 0.250 0.250
```

(b)
## LiFeBIr (PBE)

Data for a geometry-optimized LiFeBIr structure.

Summary:
Mass density ... 10.3 g/cm³

CIF file:
```
data_LiFeBIr
_space_group_name_H-M_alt 'F -4 3 m'
_space_group_IT_number 216
_space_group_name_Hall 'F -4 2 3'
_cell_length_a 5.546
_cell_length_b 5.546
_cell_length_c 5.546
_cell_angle_alpha 90.00
_cell_angle_beta 90.00
_cell_angle_gamma 90.00
loop_
_atom_site_label
_atom_site_type_symbol
_atom_site_fract_x
_atom_site_fract_y
_atom_site_fract_z
Li1 Li 0.000 0.000 0.000
Fe1 Fe 0.000 0.000 0.500
B1 B 0.250 0.250 0.250
Ir1 Ir 0.250 0.250 0.750
```

Verdict on stability: (a) comes out on top.

(a)
## Tm2Fe3B4Ir2 (PBE)

Data for a geometry-optimized Tm2Fe3B4Ir2 structure.

Summary:
Mass density ... 11.6 g/cm³

CIF file:
```
data_Tm2Fe3B4Ir2
_space_group_name_H-M_alt 'F m m m'
_space_group_IT_number 69
_space_group_name_Hall '-F 2 2'
_cell_length_a 5.318
_cell_length_b 9.071
_cell_length_c 11.099
_cell_angle_alpha 90.00
_cell_angle_beta 90.00
_cell_angle_gamma 90.00
loop_
_atom_site_label
_atom_site_type_symbol
_atom_site_fract_x
_atom_site_fract_y
_atom_site_fract_z
Tm1 Tm 0.000 0.000 0.145
Fe1 Fe 0.000 0.000 0.500
Fe2 Fe 0.250 0.250 0.250
B1 B 0.000 0.151 0.359
Ir1 Ir 0.250 0.250 0.000
```

(b)
## Tm2Fe3B4Ir2 (PBE)

Data for a geometry-optimized Tm2Fe3B4Ir2 structure.

Summary:
Mass density ... 11.3 g/cm³

CIF file:
```
data_Tm2Fe3B4Ir2
_space_group_name_H-M_alt 'F m m m'
_space_group_IT_number 69
_space_group_name_Hall '-F 2 2'
_cell_length_a 5.310
_cell_length_b 9.135
_cell_length_c 11.346
_cell_angle_alpha 90.00
_cell_angle_beta 90.00
_cell_angle_gamma 90.00
loop_
_atom_site_label
_atom_site_type_symbol
_atom_site_fract_x
_atom_site_fract_y
_atom_site_fract_z
Tm1 Tm 0.000 0.000 0.136
Fe1 Fe 0.000 0.000 0.500
Fe2 Fe 0.250 0.250 0.000
B1 B 0.000 0.155 0.376
Ir1 Ir 0.250 0.250 0.250
```

Verdict on stability: (a) comes out on top.

(a)
## ZrFeBIr (PBE)

Data for a geometry-optimized ZrFeBIr structure.

Summary:
Mass density ... 10.1 g/cm³

CIF file:
```
data_ZrFeBIr
_space_group_name_H-M_alt 'F -4 3 m'
_space_group_IT_number 216
_space_group_name_Hall 'F -4 2 3'
_cell_length_a 6.125
_cell_length_b 6.125
_cell_length_c 6.125
_cell_angle_alpha 90.00
_cell_angle_beta 90.00
_cell_angle_gamma 90.00
loop_
_atom_site_label
_atom_site_type_symbol
_atom_site_fract_x
_atom_site_fract_y
_atom_site_fract_z
Zr1 Zr 0.000 0.000 0.000
Fe1 Fe 0.000 0.000 0.500
B1 B 0.250 0.250 0.250
Ir1 Ir 0.250 0.250 0.750
```

(b)
## ZrFeBIr (PBE)

Data for a geometry-optimized ZrFeBIr structure.

Summary:
Mass density ... 10.9 g/cm³

CIF file:
```
data_ZrFeBIr
_space_group_name_H-M_alt 'F -4 3 m'
_space_group_IT_number 216
_space_group_name_Hall 'F -4 2 3'
_cell_length_a 5.971
_cell_length_b 5.971
_cell_length_c 5.971
_cell_angle_alpha 90.00
_cell_angle_beta 90.00
_cell_angle_gamma 90.00
loop_
_atom_site_label
_atom_site_type_symbol
_atom_site_fract_x
_atom_site_fract_y
_atom_site_fract_z
Zr1 Zr 0.000 0.000 0.000
Fe1 Fe 0.250 0.250 0.750
B1 B 0.000 0.000 0.500
Ir1 Ir 0.250 0.250 0.250
```

Verdict on stability: (b) comes out on top.